{"formula": "KSrSc", "functional": "GGA-PBEsol", "state": "relaxed", "sg": "Fmm2 (42)", "mass_density_g_cm3": 2.343, "vol_a3_per_atom": 40.6, "m_tot_mub_per_cell": 0.00, "delta_e_f_kj_per_mol_atoms": 43.9, "cell": [[-3.457, -0.569, 1.004], [1.422, -3.124, -1.225], [3.982, -0.324, 9.087]], "species": ["Sr", "Sc", "K"], "fractional_positions": [[0.315, 0.315, 0.630], [0.675, 0.675, 0.350], [0.010, 0.010, 0.020]]}

---

{"formula": "AlZnS2O", "functional": "GGA-PBEsol", "state": "relaxed", "sg": "P4/mmm (123)", "mass_density_g_cm3": 3.665, "vol_a3_per_atom": 15.6, "m_tot_mub_per_cell": 0.00, "formation_energy_uncorrected_ev_per_atom": -0.629, "cell": [[-0.206, -0.204, 3.344], [-4.799, -0.392, -0.320], [0.410, -4.801, -0.268]], "species": ["Al", "Zn", "O", "S", "S"], "fractional_positions": [[0.000, 0.000, 0.000], [0.500, 0.500, 0.500], [0.500, 0.000, 0.000], [0.000, 0.000, 0.500], [0.000, 0.500, 0.000]]}